(1)
A relaxed Er3PdAu2 crystal, computed with PBE-GGA.

abc: 3.530 3.530 10.685
angles: 90.00 90.00 90.00
Space group P4/mmm (No. 123)
Unique sites:
Er: 0.000 0.000 0.000 (multiplicity 1)
Er: 0.000 0.000 0.339 (multiplicity 2)
Pd: 0.500 0.500 0.500 (multiplicity 1)
Au: 0.500 0.500 0.169 (multiplicity 2)

Output
formation energy from the elements	-0.895	eV per atom

=====

(2)
A relaxed BePNO4 crystal, computed with PBE-GGA.

abc: 9.570 8.556 5.154
angles: 90.00 90.00 90.00
Space group Pna2_1 (No. 33)
Unique sites:
Be: 0.158 0.105 0.000 (multiplicity 4)
P: 0.162 0.908 0.500 (multiplicity 4)
N: 0.004 0.360 0.499 (multiplicity 4)
O: 0.008 0.858 0.499 (multiplicity 4)
O: 0.192 0.005 0.744 (multiplicity 4)
O: 0.192 0.006 0.257 (multiplicity 4)
O: 0.245 0.264 0.999 (multiplicity 4)

Output
E_form (uncorrected)	-24.1	kcal/mol of atoms

=====

(3)
A relaxed ZnCd2Br crystal, computed with PBE-GGA.

abc: 8.018 8.018 6.335
angles: 90.00 90.00 90.00
Space group I-42d (No. 122)
Unique sites:
Zn: 0.000 0.000 0.000 (multiplicity 4)
Cd: 0.222 0.250 0.125 (multiplicity 8)
Br: 0.000 0.000 0.500 (multiplicity 4)

Output
E_form (uncorrected)	-2.0	kcal/mol of atoms

=====

(4)
A relaxed DyTm7Tl2 crystal, computed with PBE-GGA.

abc: 9.069 15.394 5.262
angles: 90.00 90.00 90.00
Space group Cmmm (No. 65)
Unique sites:
Dy: 0.000 0.000 0.000 (multiplicity 2)
Tm: 0.000 0.225 0.000 (multiplicity 4)
Tm: 0.000 0.500 0.500 (multiplicity 2)
Tm: 0.182 0.120 0.500 (multiplicity 8)
Tl: 0.000 0.306 0.500 (multiplicity 4)

Output
formation energy from the elements	0.375	eV per atom

=====

(5)
A relaxed Os4PtRh crystal, computed with PBE-GGA.

abc: 7.239 7.239 7.239
angles: 90.00 90.00 90.00
Space group F-43m (No. 216)
Unique sites:
Os: 0.125 0.125 0.125 (multiplicity 16)
Pt: 0.000 0.000 0.500 (multiplicity 4)
Rh: 0.250 0.250 0.750 (multiplicity 4)

Output
formation energy from the elements	0.794	eV per atom

=====

(6)
A relaxed Fe2SiSe crystal, computed with PBE-GGA.

abc: 7.404 2.854 4.853
angles: 90.00 102.61 90.00
Space group C2/m (No. 12)
Unique sites:
Fe: 0.244 0.000 0.243 (multiplicity 4)
Si: 0.000 0.500 0.000 (multiplicity 2)
Se: 0.000 0.000 0.500 (multiplicity 2)

Output
E_form (uncorrected)	2.7	kcal/mol of atoms

=====

| no. | size of the total moment (μB per formula unit) | volume (Å³ per cell) |
| --- | --- | --- |
| 1 | 0.0 | 133.1 |
| 2 | 4.0 | 422.0 |
| 3 | 0.0 | 407.3 |
| 4 | 0.0 | 734.7 |
| 5 | 2.2 | 379.3 |
| 6 | 1.4 | 100.1 |